1.
# Zr3InSe6

A relaxed structure of Zr3InSe6 (GGA-PBE, Alexandria via LeMat-Bulk).

Unit cell a=11.878 b=3.779 c=12.090 alpha=90.00 beta=107.41 gamma=90.00
Space group P2_1/m (No. 11)
Unique sites:
Zr 0.025 0.250 0.140
Zr 0.207 0.250 0.773
Zr 0.349 0.750 0.461
In 0.400 0.750 0.122
Se 0.049 0.750 0.670
Se 0.141 0.250 0.971
Se 0.181 0.750 0.248
Se 0.254 0.250 0.559
Se 0.372 0.750 0.859
Se 0.451 0.250 0.359

Output
Final energy ... -0.2232 Ha/atom



2.
# ZrInSe3

A relaxed structure of ZrInSe3 (GGA-PBE, Alexandria via LeMat-Bulk).

Unit cell a=5.153 b=5.153 c=5.153 alpha=90.00 beta=90.00 gamma=90.00
Space group Pm-3m (No. 221)
Unique sites:
Zr 0.000 0.000 0.000
In 0.500 0.500 0.500
Se 0.000 0.500 0.500

Output
Final energy ... -0.1499 Ha/atom
Energy above the lowest structure with this stoichiometry ... 1177 meV per atom



3.
# ZrInSe3

A relaxed structure of ZrInSe3 (GGA-PBE, Alexandria via LeMat-Bulk).

Unit cell a=6.8133 b=6.8133 c=6.6113 alpha=90.00 beta=90.00 gamma=120.00
Space group P-6c2 (No. 188)
Unique sites:
Zr 0.0000 0.0000 0.0000
In 0.6667 0.3333 0.0000
Se 0.0181 0.3304 0.2500

Output
Final energy ... -0.1899 Ha/atom
Energy above the lowest structure with this stoichiometry ... 89 meV per atom



4.
# ZrIn4Se

A relaxed structure of ZrIn4Se (GGA-PBE, Alexandria via LeMat-Bulk).

Unit cell a=8.343 b=8.343 c=8.343 alpha=90.00 beta=90.00 gamma=90.00
Space group F-43m (No. 216)
Unique sites:
Zr 0.000 0.000 0.000
In 0.126 0.126 0.626
Se 0.250 0.250 0.250

Output
Final energy ... -0.1358 Ha/atom



5.
# Zr2InSe

A relaxed structure of Zr2InSe (GGA-PBE, Alexandria via LeMat-Bulk).

Unit cell a=6.976 b=6.976 c=6.976 alpha=90.00 beta=90.00 gamma=90.00
Space group Fm-3m (No. 225)
Unique sites:
Zr 0.250 0.250 0.250
In 0.000 0.000 0.000
Se 0.000 0.000 0.500

Output
Final energy ... -0.2267 Ha/atom
Energy above the lowest structure with this stoichiometry ... 347 meV per atom



6.
# Zr2InSe

A relaxed structure of Zr2InSe (GGA-PBE, Alexandria via LeMat-Bulk).

Unit cell a=3.4791 b=3.4791 c=25.4028 alpha=90.00 beta=90.00 gamma=120.00
Space group R-3m (No. 166, hexagonal axes)
Unique sites:
Zr 0.0000 0.0000 0.2389
In 0.0000 0.0000 0.0000
Se 0.0000 0.0000 0.5000

Output
Final energy ... -0.2368 Ha/atom
Energy above the lowest structure with this stoichiometry ... 70 meV per atom



7.
# Zr2InSe

A relaxed structure of Zr2InSe (GGA-PBE, Alexandria via LeMat-Bulk).

Unit cell a=3.589 b=3.589 c=7.590 alpha=90.00 beta=90.00 gamma=90.00
Space group P4mm (No. 99)
Unique sites:
Zr 0.000 0.000 0.000
Zr 0.500 0.500 0.251
In 0.000 0.000 0.475
Se 0.500 0.500 0.866

Output
Final energy ... -0.2359 Ha/atom
Energy above the lowest structure with this stoichiometry ... 95 meV per atom



8.
# ZrInSe3

A relaxed structure of ZrInSe3 (GGA-PBE, Alexandria via LeMat-Bulk).

Unit cell a=5.277 b=5.277 c=5.277 alpha=90.00 beta=90.00 gamma=90.00
Space group Pm-3m (No. 221)
Unique sites:
Zr 0.000 0.000 0.000
In 0.500 0.500 0.500
Se 0.000 0.000 0.500

Output
Final energy ... -0.1842 Ha/atom
Energy above the lowest structure with this stoichiometry ... 244 meV per atom



9.
# Zr2InSe

A relaxed structure of Zr2InSe (GGA-PBE, Alexandria via LeMat-Bulk).

Unit cell a=3.4993 b=3.4993 c=25.1479 alpha=90.00 beta=90.00 gamma=120.00
Space group R3m (No. 160, hexagonal axes)
Unique sites:
Zr 0.0000 0.0000 0.0000
Zr 0.0000 0.0000 0.1882
In 0.0000 0.0000 0.4272
Se 0.0000 0.0000 0.5940

Output
Final energy ... -0.2383 Ha/atom
Energy above the lowest structure with this stoichiometry ... 31 meV per atom



10.
# ZrInSe3

A relaxed structure of ZrInSe3 (GGA-PBE, Alexandria via LeMat-Bulk).

Unit cell a=3.954 b=20.113 c=7.181 alpha=90.00 beta=90.00 gamma=90.00
Space group Ama2 (No. 40)
Unique sites:
Zr 0.250 0.176 0.000
In 0.250 0.352 0.984
Se 0.250 0.090 0.290
Se 0.250 0.251 0.675
Se 0.250 0.397 0.345

Output
Final energy ... -0.1932 Ha/atom
Energy above the lowest structure with this stoichiometry ... 0 meV per atom



11.
# Zr2InSe

A relaxed structure of Zr2InSe (GGA-PBE, Alexandria via LeMat-Bulk).

Unit cell a=3.281 b=3.281 c=7.742 alpha=90.00 beta=90.00 gamma=90.00
Space group P4/mmm (No. 123)
Unique sites:
Zr 0.000 0.000 0.217
In 0.500 0.500 0.500
Se 0.500 0.500 0.000

Output
Final energy ... -0.2394 Ha/atom
Energy above the lowest structure with this stoichiometry ... 0 meV per atom



12.
# Zr2InSe

A relaxed structure of Zr2InSe (GGA-PBE, Alexandria via LeMat-Bulk).

Unit cell a=7.111 b=7.111 c=7.111 alpha=90.00 beta=90.00 gamma=90.00
Space group F-43m (No. 216)
Unique sites:
Zr 0.000 0.000 0.000
Zr 0.250 0.250 0.250
In 0.250 0.250 0.750
Se 0.000 0.000 0.500

Output
Final energy ... -0.2103 Ha/atom
Energy above the lowest structure with this stoichiometry ... 793 meV per atom



Here are the calculated energy relative to the elements, uncorrected numbers, same order: -1.145, 0.269, -0.819, 0.135, -0.338, -0.615, -0.589, -0.664, -0.654, -0.908, -0.685, 0.108 (eV per atom).
Here are the calculated ρ numbers, same order: 5.5, 5.4, 5.5, 7.2, 7.4, 7.0, 6.4, 5.0, 7.0, 5.2, 7.5, 7.0 (g/cm³).
Here are the calculated DOS at the Fermi energy numbers, same order: 5.17, 6.31, 6.25, 12.16, 35.69, 10.74, 1.57, 2.50, 14.20, 5.99, 1.89, 21.38 (states/eV/cell).